Entry from Alexandria: a relaxed NdSm5Sc2 crystal (GGA-PBE).

a = 4.9923 Å, b = 7.0822 Å, c = 14.1673 Å
α = 90.00°, β = 90.00°, γ = 90.00°
Last column: nearest neighbours and their distance in Å.
Positions (direct):
Nd 0.0000 0.0000 0.5000  4 Sc 3.54, 8 Sm 3.54-3.55
Nd 0.0000 0.5000 0.0000  4 Sc 3.54, 8 Sm 3.54-3.55
Sm 0.0000 0.0000 0.0000  6 Sm 3.54, 4 Sc 3.54, 2 Nd 3.54
Sm 0.0000 0.5000 0.5000  6 Sm 3.54, 4 Sc 3.54, 2 Nd 3.54
Sm 0.0000 0.4994 0.7496  7 Sm 3.53-3.54, 4 Sc 3.53-3.54, 1 Nd 3.55
Sm 0.0000 0.5006 0.2504  7 Sm 3.53-3.54, 4 Sc 3.53-3.54, 1 Nd 3.55
Sm 0.0000 0.0006 0.2496  7 Sm 3.53-3.54, 4 Sc 3.53-3.54, 1 Nd 3.55
Sm 0.0000 0.9994 0.7504  7 Sm 3.53-3.54, 4 Sc 3.53-3.54, 1 Nd 3.55
Sm 0.5000 0.2491 0.8745  6 Sm 3.53-3.54, 4 Sc 3.53-3.55, 2 Nd 3.54
Sm 0.5000 0.7509 0.1255  6 Sm 3.53-3.54, 4 Sc 3.53-3.55, 2 Nd 3.54
Sm 0.5000 0.2509 0.3745  6 Sm 3.53-3.54, 4 Sc 3.53-3.55, 2 Nd 3.54
Sm 0.5000 0.7491 0.6255  6 Sm 3.53-3.54, 4 Sc 3.53-3.55, 2 Nd 3.54
Sc 0.5000 0.2498 0.6254  10 Sm 3.53-3.55, 2 Nd 3.54
Sc 0.5000 0.7502 0.3746  10 Sm 3.53-3.55, 2 Nd 3.54
Sc 0.5000 0.2502 0.1254  10 Sm 3.53-3.55, 2 Nd 3.54
Sc 0.5000 0.7498 0.8746  10 Sm 3.53-3.55, 2 Nd 3.54

Crystal system: orthorhombic
Energy of formation, kJ/mol of formula units: 28